# Li2H3Pd, relaxed, DFT PBE
data_Li2H3Pd
_chemical_formula_sum 'Li4 H6 Pd2'
_cell_length_a 10.456
_cell_length_b 3.577
_cell_length_c 3.059
_cell_angle_alpha 90.00
_cell_angle_beta 106.61
_cell_angle_gamma 90.00
_symmetry_space_group_name_H-M 'C 1 2/m 1'
_symmetry_Int_Tables_number 12
_symmetry_space_group_name_Hall '-C 2y'
loop_
_atom_site_label
_atom_site_fract_x
_atom_site_fract_y
_atom_site_fract_z
Li1 0.143 0.000 0.137
H1 0.000 0.000 0.500
H2 0.168 0.500 0.695
Pd1 0.000 0.500 0.500
# Distance to the lowest polymorph of the same formula in meV per atom: 0


# LiHPd, relaxed, DFT PBE
data_LiHPd
_chemical_formula_sum 'Li1 H1 Pd1'
_cell_length_a 2.753
_cell_length_b 2.753
_cell_length_c 4.872
_cell_angle_alpha 90.00
_cell_angle_beta 90.00
_cell_angle_gamma 90.00
_symmetry_space_group_name_H-M 'P 4/m m m'
_symmetry_Int_Tables_number 123
_symmetry_space_group_name_Hall '-P 4 2'
loop_
_atom_site_label
_atom_site_fract_x
_atom_site_fract_y
_atom_site_fract_z
Li1 0.000 0.000 0.000
H1 0.500 0.500 0.500
Pd1 0.000 0.000 0.500
# Distance to the lowest polymorph of the same formula in meV per atom: 254


no.,D(E_F) (states/eV per cell)
1,1.096
2,0.936